Record 1
First-principles (SCAN) data for a PBEsol-optimized structure of Ca3In4Ni8, as listed in the Alexandria database.

Computed properties:
Formation energy from the elements ... -261 meV/atom

Structure (POSCAR):
```
Ca3In4Ni8
1.0
8.848 0.000 0.000
-4.424 7.662 0.000
0.000 0.000 7.423
Ca In Ni
6 8 16
Direct
0.059 0.530 0.000 Ca
0.470 0.530 0.000 Ca
0.470 0.941 0.000 Ca
0.530 0.059 0.500 Ca
0.530 0.470 0.500 Ca
0.941 0.470 0.500 Ca
0.169 0.339 0.696 In
0.169 0.831 0.696 In
0.333 0.667 0.341 In
0.339 0.169 0.196 In
0.661 0.831 0.696 In
0.667 0.333 0.841 In
0.831 0.169 0.196 In
0.831 0.661 0.196 In
0.000 0.000 0.268 Ni
0.000 0.000 0.768 Ni
0.098 0.196 0.016 Ni
0.098 0.902 0.016 Ni
0.160 0.320 0.329 Ni
0.160 0.840 0.329 Ni
0.196 0.098 0.516 Ni
0.320 0.160 0.829 Ni
0.333 0.667 0.694 Ni
0.667 0.333 0.194 Ni
0.680 0.840 0.329 Ni
0.804 0.902 0.016 Ni
0.840 0.160 0.829 Ni
0.840 0.680 0.829 Ni
0.902 0.098 0.516 Ni
0.902 0.804 0.516 Ni
```

Record 2
First-principles (SCAN) data for a PBEsol-optimized structure of MgInNi2, as listed in the Alexandria database.

Computed properties:
Formation energy from the elements ... -88 meV/atom

Structure (POSCAR):
```
MgInNi2
1.0
-1.849 1.849 4.146
1.849 -1.849 4.146
1.849 1.849 -4.146
Mg In Ni
1 1 2
Direct
0.000 0.000 0.000 Mg
0.250 0.750 0.500 In
0.500 0.500 0.000 Ni
0.750 0.250 0.500 Ni
```